Record 1
# Ti2Hg2H

Crystalline Ti2Hg2H at its relaxed geometry (PBE, Alexandria via LeMat-Bulk).

Calculated values
The calculation puts the total magnetic moment at 0.0 μB per cell. The total energy comes out at -0.1438 hartree per atom. The symmetry is No. 127. As for the density of states at the Fermi level: 7.89 states/eV per cell. The volume comes out at 16.4 A^3/atom.

abc: 5.7099 5.7099 5.0428
angles: 90.00 90.00 90.00
Closest atoms and distances in Å follow each position.
Fractional positions:
H  0.0000  0.0000  0.0000  4 Ti 2.14
H  0.5000  0.5000  0.0000  4 Ti 2.14
Hg  0.1738  0.6738  0.5000  5 Hg 2.81-2.98, 2 Ti 2.85
Hg  0.6738  0.8262  0.5000  5 Hg 2.81-2.98, 2 Ti 2.85
Hg  0.8262  0.3262  0.5000  5 Hg 2.81-2.98, 2 Ti 2.85
Hg  0.3262  0.1738  0.5000  5 Hg 2.81-2.98, 2 Ti 2.85
Ti  0.3376  0.8376  0.0000  2 H 2.14
Ti  0.8376  0.6624  0.0000  2 H 2.14
Ti  0.6624  0.1624  0.0000  2 H 2.14
Ti  0.1624  0.3376  0.0000  2 H 2.14



Record 2
# Sc2BeSe

Crystalline Sc2BeSe at its relaxed geometry (PBE, Alexandria via LeMat-Bulk).

Calculated values
The calculation puts the total magnetic moment at 0.0 μB per cell. The calculation puts the formation energy without anion corrections at -0.348 eV per atom. The symmetry is No. 225. As for the density of states at the Fermi level: 3.34 states/eV per cell. The value obtained for the energy above the most stable polymorph in this dataset is 1.45 eV/f.u. The volume comes out at 18.0 A^3/atom.

abc: 4.6719 4.6719 4.6719
angles: 60.00 60.00 60.00
Closest atoms and distances in Å follow each position.
Fractional positions:
Sc  0.2500  0.2500  0.2500  4 Se 2.86, 4 Be 2.86
Sc  0.7500  0.7500  0.7500  4 Se 2.86, 4 Be 2.86
Be  0.0000  0.0000  0.0000  8 Sc 2.86
Se  0.5000  0.5000  0.5000  8 Sc 2.86



Record 3
# SmSi2Ag2

Crystalline SmSi2Ag2 at its relaxed geometry (PBE, Alexandria via LeMat-Bulk).

Calculated values
The calculation puts the total magnetic moment at 0.0 μB per cell. The calculation puts the formation energy without anion corrections at -0.420 eV per atom. The symmetry is No. 139. As for the density of states at the Fermi level: 1.38 states/eV per cell. The volume comes out at 19.1 A^3/atom.

abc: 6.1494 6.1494 6.1494
angles: 139.98 139.98 57.89
Closest atoms and distances in Å follow each position.
Fractional positions:
Sm  0.0000  0.0000  0.0000  8 Si 3.19, 8 Ag 3.42
Si  0.6075  0.6075  0.0000  1 Si 2.31
Si  0.3925  0.3925  0.0000  1 Si 2.31
Ag  0.7500  0.2500  0.5000  4 Si 2.60
Ag  0.2500  0.7500  0.5000  4 Si 2.60



Record 4
# La4Th3VN8

Crystalline La4Th3VN8 at its relaxed geometry (PBE, Alexandria via LeMat-Bulk).

Calculated values
The calculation puts the total magnetic moment at 1.9 μB per cell. The calculation puts the formation energy without anion corrections at -1.288 eV per atom. The symmetry is No. 166. As for the density of states at the Fermi level: 3.03 states/eV per cell. The volume comes out at 17.1 A^3/atom.

abc: 7.2539 7.3061 7.2544
angles: 119.76 120.00 90.00
Closest atoms and distances in Å follow each position.
Fractional positions:
La  0.5000  0.0000  0.0000  6 N 2.66
La  0.5000  0.0000  0.5000  6 N 2.64-2.65
La  0.0000  0.0000  0.0000  6 N 2.64-2.65
La  0.0000  0.0000  0.5000  6 N 2.64-2.65
Th  0.5000  0.5000  0.0000  6 N 2.50-2.51
Th  0.5000  0.5000  0.5000  6 N 2.50-2.51
Th  0.0000  0.5000  0.5000  6 N 2.50-2.51
V  0.0000  0.5000  0.0000  6 N 2.49
N  0.2414  0.7288  0.9873  1 V 2.49, 2 Th 2.51, 3 La 2.64-2.66
N  0.2418  0.7291  0.4836  1 V 2.49, 2 Th 2.51, 3 La 2.64-2.66
N  0.2571  0.2713  0.5142  3 Th 2.50, 3 La 2.65
N  0.7459  0.7288  0.9873  1 V 2.49, 2 Th 2.51, 3 La 2.64-2.66
N  0.2541  0.2712  0.0127  1 V 2.49, 2 Th 2.51, 3 La 2.64-2.66
N  0.7429  0.7287  0.4858  3 Th 2.50, 3 La 2.65
N  0.7582  0.2709  0.5164  1 V 2.49, 2 Th 2.51, 3 La 2.64-2.66
N  0.7586  0.2712  0.0127  1 V 2.49, 2 Th 2.51, 3 La 2.64-2.66



Record 5
# Na3TaMn3Te8

Crystalline Na3TaMn3Te8 at its relaxed geometry (PBE, Alexandria via LeMat-Bulk).

Calculated values
The calculation puts the total magnetic moment at 12.9 μB per cell. The calculation puts the formation energy without anion corrections at -0.401 eV per atom. The symmetry is No. 166. As for the density of states at the Fermi level: 6.80 states/eV per cell. The volume comes out at 29.0 A^3/atom.

abc: 8.0691 8.0706 9.0072
angles: 116.62 90.00 119.99
Closest atoms and distances in Å follow each position.
Fractional positions:
Na  0.0000  0.0000  0.0000  6 Te 3.25-3.26
Na  0.0000  0.5000  0.0000  6 Te 3.25-3.26
Na  0.5000  0.5000  0.0000  6 Te 3.25-3.26
Ta  0.0000  0.0000  0.5000  6 Te 2.82
Mn  0.5000  0.0000  0.5000  6 Te 2.81-2.82
Mn  0.5000  0.5000  0.5000  6 Te 2.81-2.82
Mn  0.0000  0.5000  0.5000  6 Te 2.81-2.82
Te  0.2655  0.5309  0.2966  3 Mn 2.81
Te  0.7345  0.4691  0.7034  3 Mn 2.81
Te  0.7643  0.5286  0.2936  2 Mn 2.82, 1 Ta 2.82
Te  0.2357  0.4714  0.7064  2 Mn 2.82, 1 Ta 2.82
Te  0.7647  0.0286  0.2936  1 Ta 2.82, 2 Mn 2.82
Te  0.2353  0.9714  0.7064  1 Ta 2.82, 2 Mn 2.82
Te  0.2639  0.0286  0.2936  1 Ta 2.82, 2 Mn 2.82
Te  0.7361  0.9714  0.7064  1 Ta 2.82, 2 Mn 2.82



Record 6
# Tb4PdRu3

Crystalline Tb4PdRu3 at its relaxed geometry (PBE, Alexandria via LeMat-Bulk).

Calculated values
The calculation puts the formation energy at -0.47 eV per atom. The calculation puts the total magnetic moment at 0.0 μB per cell. The symmetry is No. 123. As for the density of states at the Fermi level: 6.02 states/eV per cell. The volume comes out at 20.3 A^3/atom.

abc: 4.8676 6.8508 9.7351
angles: 90.00 90.00 90.00
Closest atoms and distances in Å follow each position.
Fractional positions:
Ru  0.0000  0.0000  0.0000  8 Tb 2.96
Ru  0.0000  0.0000  0.5000  8 Tb 2.96
Ru  0.5000  0.0000  0.7500  8 Tb 2.96
Ru  0.5000  0.0000  0.2500  8 Tb 2.96
Ru  0.5000  0.5000  0.7500  8 Tb 3.00
Ru  0.5000  0.5000  0.2500  8 Tb 3.00
Tb  0.5000  0.7552  0.0000  6 Ru 2.96-3.00, 2 Pd 3.00
Tb  0.5000  0.7552  0.5000  6 Ru 2.96-3.00, 2 Pd 3.00
Tb  0.5000  0.2448  0.0000  6 Ru 2.96-3.00, 2 Pd 3.00
Tb  0.5000  0.2448  0.5000  6 Ru 2.96-3.00, 2 Pd 3.00
Tb  0.0000  0.7552  0.7500  6 Ru 2.96-3.00, 2 Pd 3.00
Tb  0.0000  0.7552  0.2500  6 Ru 2.96-3.00, 2 Pd 3.00
Tb  0.0000  0.2448  0.2500  6 Ru 2.96-3.00, 2 Pd 3.00
Tb  0.0000  0.2448  0.7500  6 Ru 2.96-3.00, 2 Pd 3.00
Pd  0.0000  0.5000  0.0000  8 Tb 3.00
Pd  0.0000  0.5000  0.5000  8 Tb 3.00



Record 7
# H6Pt2Rh

Crystalline H6Pt2Rh at its relaxed geometry (PBE, Alexandria via LeMat-Bulk).

Calculated values
The calculation puts the total magnetic moment at 0.0 μB per cell. The total energy comes out at -0.1579 hartree per atom. The symmetry is No. 12. As for the density of states at the Fermi level: 2.02 states/eV per cell. The volume comes out at 8.6 A^3/atom.

abc: 2.8854 4.3370 6.6101
angles: 95.82 90.00 109.43
Closest atoms and distances in Å follow each position.
Fractional positions:
H  0.9047  0.8094  0.7268  1 Pt 1.70, 1 Rh 1.76
H  0.8485  0.6969  0.0393  3 Pt 1.80-1.87
H  0.1515  0.3031  0.9607  3 Pt 1.80-1.87
H  0.6337  0.2674  0.5445  1 Pt 1.78, 2 Rh 1.82
H  0.3663  0.7326  0.4555  1 Pt 1.78, 2 Rh 1.82
H  0.0953  0.1906  0.2732  1 Pt 1.70, 1 Rh 1.76
Pt  0.7134  0.4268  0.8056  5 H 1.70-1.87
Pt  0.2866  0.5732  0.1944  5 H 1.70-1.87
Rh  0.0000  0.0000  0.5000  6 H 1.76-1.82



Record 8
# Ru

Crystalline Ru at its relaxed geometry (PBE, Alexandria via LeMat-Bulk).

Calculated values
The calculation puts the formation energy at 0.36 eV per atom. The calculation puts the total magnetic moment at 0.0 μB per cell. The symmetry is No. 176. As for the density of states at the Fermi level: 13.06 states/eV per cell. The value obtained for the energy above the most stable polymorph in this dataset is 0.36 eV/f.u. The volume comes out at 15.3 A^3/atom.

abc: 7.1212 7.1212 4.1828
angles: 90.00 90.00 120.00
Closest atoms and distances in Å follow each position.
Fractional positions:
Ru  0.7588  0.9497  0.2500  11 Ru 2.61-2.77
Ru  0.8092  0.7588  0.7500  11 Ru 2.61-2.77
Ru  0.0503  0.8092  0.2500  11 Ru 2.61-2.77
Ru  0.2412  0.0503  0.7500  11 Ru 2.61-2.77
Ru  0.1908  0.2412  0.2500  11 Ru 2.61-2.77
Ru  0.9497  0.1908  0.7500  11 Ru 2.61-2.77
Ru  0.8897  0.3792  0.2500  9 Ru 2.52-2.77
Ru  0.5105  0.8897  0.7500  9 Ru 2.52-2.77
Ru  0.6208  0.5105  0.2500  9 Ru 2.52-2.77
Ru  0.1103  0.6208  0.7500  9 Ru 2.52-2.77
Ru  0.4895  0.1103  0.2500  9 Ru 2.52-2.77
Ru  0.3792  0.4895  0.7500  9 Ru 2.52-2.77



> The highest total magnetic moment belongs to which entry?

Na3TaMn3Te8